Sm3Cd2Os, relaxed, DFT PBE-GGA; V = 25.4 A^3/atom; E = -0.17543 Ha/atom; formation energy from the elements = -0.2374 eV/atom; crystal system = orthorhombic
1.0
5.133 0.000 0.021
2.567 7.625 0.010
-0.034 0.000 7.786
Sm Cd Os
6 4 2
Cartesian
5.108 2.669 6.102
2.560 0.000 1.788
2.559 4.956 1.715
5.125 2.669 1.725
2.541 4.956 6.092
2.540 0.000 6.018
0.000 0.000 0.000
-0.017 0.000 3.893
2.550 2.514 3.903
5.117 5.111 3.914
2.567 2.454 0.010
5.133 5.171 0.021

Sm7Cd2Os2, relaxed, DFT PBE-GGA; V = 28.8 A^3/atom; E = -0.19709 Ha/atom; ΔE to the lowest computed polymorph = 0.0 meV per atom; formation energy from the elements = -0.1517 eV/atom; crystal system = orthorhombic
1.0
3.853 0.000 0.703
1.152 8.656 4.596
0.195 0.647 9.845
Sm Cd Os
7 2 2
Cartesian
3.301 0.914 3.729
3.917 4.141 11.267
2.143 0.832 10.075
3.032 4.180 5.205
2.356 6.690 8.912
1.711 6.817 12.445
0.824 1.318 6.395
0.915 6.672 5.896
2.462 3.496 8.329
3.980 7.857 10.923
1.415 3.073 3.155

Sm6Cd3Os, relaxed, DFT PBE-GGA; V = 27.5 A^3/atom; E = -0.16263 Ha/atom; formation energy from the elements = -0.1963 eV/atom; crystal system = monoclinic
1.0
-3.131 -0.772 -4.293
-5.411 -5.617 4.956
-4.076 10.918 1.009
Sm Cd Os
12 6 2
Cartesian
-3.641 -1.882 1.315
-8.976 6.411 0.357
-2.075 0.775 -0.305
-10.542 3.754 1.977
-7.188 3.179 2.991
-5.429 1.349 -1.319
-4.009 4.021 0.522
-8.608 0.507 1.150
-6.747 -1.357 3.486
-5.870 5.886 -1.814
-4.811 8.513 0.298
-7.806 -3.985 1.374
-5.032 0.944 1.821
-7.585 3.585 -0.149
-6.216 6.002 1.775
-6.401 -1.474 -0.103
-8.904 6.077 3.722
-3.713 -1.548 -2.050
-8.405 0.895 4.290
-4.212 3.633 -2.618

Sm2CdOs, relaxed, DFT PBE-GGA; V = 24.6 A^3/atom; E = -0.20541 Ha/atom; ΔE to the lowest computed polymorph = 0.0 meV per atom; formation energy from the elements = -0.1938 eV/atom; crystal system = tetragonal
1.0
3.502 0.000 0.000
0.000 3.502 0.000
0.000 0.000 8.033
Os Sm Cd
1 2 1
Cartesian
1.751 1.751 0.000
0.000 0.000 6.327
0.000 0.000 1.706
1.751 1.751 4.017

Sm5Cd2Os, relaxed, DFT PBE-GGA; V = 27.7 A^3/atom; E = -0.17592 Ha/atom; formation energy from the elements = -0.2051 eV/atom; crystal system = orthorhombic
1.0
5.187 0.000 0.000
0.000 6.796 0.000
0.000 0.000 12.590
Sm Cd Os
10 4 2
Cartesian
0.000 0.000 6.295
0.000 3.398 0.000
0.000 5.929 2.651
0.000 0.867 9.940
0.000 4.266 8.946
0.000 2.531 3.645
2.594 4.489 5.109
2.594 2.307 7.481
2.594 5.706 11.405
2.594 1.091 1.186
2.594 4.174 1.879
2.594 2.623 10.711
2.594 6.021 8.175
2.594 0.775 4.416
0.000 3.398 6.295
0.000 0.000 0.000

Sm2CdOs, relaxed, DFT PBE-GGA; V = 35.4 A^3/atom; E = -0.19118 Ha/atom; ΔE to the lowest computed polymorph = 387.4 meV per atom; formation energy from the elements = 0.1936 eV/atom; crystal system = trigonal
1.0
-2.248 1.446 3.056
-4.052 -0.101 -0.236
-2.123 -8.512 5.163
Os Sm Cd
1 2 1
Cartesian
-4.211 -3.584 3.992
-2.115 -5.390 3.692
-6.308 -1.777 4.292
0.000 0.000 0.000